1.
{
  "formula": "AsIrS2N",
  "functional": "PBE",
  "state": "optimized geometry",
  "lattice": [[-4.810, 0.538, -0.278], [0.114, -0.824, -3.570], [-0.587, -4.693, 1.065]],
  "species": ["N", "Ir", "S", "S", "As"],
  "fractional_positions": [[0.000, 0.500, 0.000], [0.000, 0.000, 0.000], [0.500, 0.000, 0.000], [0.000, 0.000, 0.500], [0.500, 0.500, 0.500]],
  "e_tot_ev_per_cell": -27.1,
  "spacegroup": "No. 123",
  "e_above_lowest_polymorph_mev_per_atom": 0,
  "raw_formation_energy_ev_per_atom": 0.605
}


2.
{
  "formula": "Ta2TeRh",
  "functional": "PBE",
  "state": "optimized geometry",
  "lattice": [[4.010, 0.000, 0.000], [0.000, 4.010, 0.000], [0.000, 0.000, 4.446]],
  "species": ["Ta", "Ta", "Rh", "Te"],
  "fractional_positions": [[0.500, 0.000, 0.000], [0.000, 0.500, 0.000], [0.000, 0.000, 0.500], [0.500, 0.500, 0.500]],
  "e_tot_ev_per_cell": -33.9,
  "spacegroup": "No. 123",
  "raw_formation_energy_ev_per_atom": 0.069
}


3.
{
  "formula": "CaCdCu",
  "functional": "PBE",
  "state": "optimized geometry",
  "lattice": [[-1.126, 1.272, 4.638], [-1.844, -3.369, 3.106], [2.746, -1.664, 3.753]],
  "species": ["Ca", "Cu", "Cd"],
  "fractional_positions": [[0.750, 0.750, 0.750], [0.500, 0.500, 0.500], [0.000, 0.000, 0.000]],
  "e_tot_ev_per_cell": -6.1,
  "spacegroup": "No. 216",
  "ef_ev_per_atom": 0.295
}


4.
{
  "formula": "KCuSb4",
  "functional": "PBE",
  "state": "optimized geometry",
  "lattice": [[3.306, -5.271, -1.139], [-2.815, -4.975, -2.708], [1.447, -1.604, -5.945]],
  "species": ["Sb", "Sb", "Sb", "Sb", "K", "Cu"],
  "fractional_positions": [[0.863, 0.379, 0.379], [0.379, 0.863, 0.379], [0.379, 0.379, 0.379], [0.379, 0.379, 0.863], [0.000, 0.000, 0.000], [0.750, 0.750, 0.750]],
  "e_tot_ev_per_cell": -20.2,
  "spacegroup": "No. 216",
  "raw_formation_energy_ev_per_atom": 0.239
}


- Which formula does entry 3 have?
  CaCdCu